DFT (GGA-PBE) results for a relaxed structure of CsTaCo2.

Geometry as extended XYZ:
```
8
Lattice="-3.574 3.574 3.687 3.574 -3.574 3.687 3.574 3.574 -3.687" Properties=species:S:1:pos:R:3 pbc="T T T"
Cs 0.000 0.000 0.000
Cs 0.000 3.574 1.843
Ta 3.574 0.000 1.843
Ta 0.000 0.000 3.687
Co 1.787 -1.230 2.765
Co 2.344 1.787 0.922
Co 1.787 4.803 -0.922
Co 1.230 1.787 4.608
```

Summary:
The space group is I-42d (122). Its crystal system is tetragonal. The magnetic moment is 0.0 μB per formula unit. For the energy of formation from the pure elements, the calculation gives 1.3377 eV per atom.